Record 1
DFT (PBE) results for a geometry-optimized KZn2Hg structure.

As for the total DFT energy (no corrections): -3.62 eV per cell. The formation energy from the elements comes out at 0.083 eV/atom. The density of states at the Fermi level comes out at 1.32 states/eV/cell.

The structure belongs to space group Pmmm (No. 47); the cell edges are 3.617, 4.162 and 7.189 Å and the angles 90.00°, 90.00° and 90.00°. The inequivalent atoms are K at (0.000, 0.000, 0.000), Zn at (0.500, 0.500, 0.317) and Hg at (0.000, 0.000, 0.500).

Record 2
DFT (PBE) results for a geometry-optimized MgB2S structure.

As for the total DFT energy (no corrections): -52.87 eV per cell. The formation energy from raw total energies is 1.465 eV per atom. The density of states at the Fermi level comes out at 6.96 states/eV/cell.

The structure belongs to space group Fm-3m (No. 225); the cell edges are 5.786, 5.786 and 5.786 Å and the angles 90.00°, 90.00° and 90.00°. The inequivalent atoms are Mg at (0.000, 0.000, 0.000), B at (0.250, 0.250, 0.250) and S at (0.000, 0.000, 0.500).

Record 3
DFT (PBE) results for a geometry-optimized Cu2AgF6 structure.

As for the total DFT energy (no corrections): -34.93 eV per cell. The formation energy from raw total energies is -1.407 eV per atom. The density of states at the Fermi level comes out at 3.79 states/eV/cell.

The structure belongs to space group P-31m (No. 162); the cell edges are 5.2933, 5.2933 and 4.9017 Å and the angles 90.00°, 90.00° and 120.00°. The inequivalent atoms are Cu at (0.3333, 0.6667, 0.0000), Ag at (0.0000, 0.0000, 0.5000) and F at (0.0000, 0.3585, 0.7837).

Record 4
DFT (PBE) results for a geometry-optimized LaMoPb2 structure.

As for the total DFT energy (no corrections): -44.63 eV per cell. The formation energy from the elements comes out at 0.215 eV/atom. The density of states at the Fermi level comes out at 6.32 states/eV/cell.

The structure belongs to space group Immm (No. 71); the cell edges are 3.796, 5.601 and 9.921 Å and the angles 90.00°, 90.00° and 90.00°. The inequivalent atoms are La at (0.000, 0.000, 0.000), Mo at (0.000, 0.000, 0.500) and Pb at (0.000, 0.500, 0.222).